[1]
The following is a DFT calculation (PBE-GGA) of a relaxed Sm7Ho3Th crystal. Values from VASP.

VASP energy: -4.734 eV per atom
DOS at the Fermi energy: 18.00 states/eV/cell
size of the total moment: 0.0 μB per formula unit
ΔE to the lowest computed polymorph: 0 meV/atom
ΔE_f: 2.12 eV per formula unit
space-group type: No. 156

Structure (Quantum ESPRESSO input):
```
&SYSTEM
  ibrav = 0, nat = 11, ntyp = 3
/
ATOMIC_SPECIES
Sm 150.36 Sm.upf
Ho 164.93 Ho.upf
Th 232.04 Th.upf
CELL_PARAMETERS angstrom
7.1548 0.0000 0.0000
-3.5774 6.1962 0.0000
0.0000 0.0000 8.6652
ATOMIC_POSITIONS angstrom
Sm 0.0000 0.0000 0.0000
Sm 0.0000 2.0506 5.7382
Sm -1.8015 5.1709 5.7382
Sm 3.5774 0.0394 8.6440
Sm 1.8228 3.0784 8.6440
Sm 1.8015 5.1709 5.7382
Sm 5.3320 3.0784 8.6440
Ho 1.8121 1.0462 2.9035
Ho 5.3426 1.0462 2.9035
Ho 3.5774 4.1037 2.9035
Th 3.5774 2.0654 5.7552
```



[2]
The following is a DFT calculation (PBE-GGA) of a relaxed Sm5Ho4Th3 crystal. Values from VASP.

VASP energy: -5.011 eV per atom
DOS at the Fermi energy: 17.59 states/eV/cell
size of the total moment: 0.0 μB per formula unit
ΔE_f: 4.04 eV per formula unit
space-group type: No. 12

Structure (Quantum ESPRESSO input):
```
&SYSTEM
  ibrav = 0, nat = 12, ntyp = 3
/
ATOMIC_SPECIES
Sm 150.36 Sm.upf
Ho 164.93 Ho.upf
Th 232.04 Th.upf
CELL_PARAMETERS angstrom
8.9663 -2.8932 0.0000
8.9663 2.8932 0.0000
-3.8718 0.0000 7.8236
ATOMIC_POSITIONS angstrom
Sm 0.0000 0.0000 0.0000
Sm 5.6160 0.0000 0.8706
Sm 4.9330 0.0000 4.4117
Sm 9.1277 0.0000 3.4119
Sm 8.4447 0.0000 6.9530
Ho -2.1360 0.0000 5.4566
Ho 1.1845 0.0000 5.1089
Ho 12.8762 0.0000 2.7147
Ho 16.1967 0.0000 2.3670
Th 2.3889 0.0000 1.7531
Th 8.9663 0.0000 0.0000
Th 11.6718 0.0000 6.0705
```



[3]
The following is a DFT calculation (PBE-GGA) of a relaxed Sm5HoTh2 crystal. Values from VASP.

VASP energy: -5.229 eV per atom
DOS at the Fermi energy: 24.40 states/eV/cell
size of the total moment: 0.0 μB per formula unit
ΔE to the lowest computed polymorph: 43 meV/atom
ΔE_f: 1.18 eV per formula unit
space-group type: No. 140

Structure (Quantum ESPRESSO input):
```
&SYSTEM
  ibrav = 0, nat = 16, ntyp = 3
/
ATOMIC_SPECIES
Sm 150.36 Sm.upf
Ho 164.93 Ho.upf
Th 232.04 Th.upf
CELL_PARAMETERS angstrom
-4.4537 4.4537 6.7475
4.4537 -4.4537 6.7475
4.4537 4.4537 -6.7475
ATOMIC_POSITIONS angstrom
Sm 0.0000 0.0000 0.0000
Sm 3.0992 -1.3545 2.1842
Sm 5.8082 -1.3545 4.5633
Sm 5.8082 1.3545 2.1842
Sm 3.0992 1.3545 4.5633
Sm 0.0000 0.0000 6.7475
Sm 1.3545 3.0992 2.1842
Sm -1.3545 3.0992 4.5633
Sm -1.3545 5.8082 2.1842
Sm 1.3545 5.8082 4.5633
Ho 0.0000 0.0000 3.3738
Ho 0.0000 0.0000 10.1213
Th 3.1981 1.2556 0.0000
Th 3.1981 -1.2556 6.7475
Th 1.2556 5.7093 0.0000
Th 1.2556 3.1981 6.7475
```



[4]
The following is a DFT calculation (PBE-GGA) of a relaxed Sm2Ho3Th crystal. Values from VASP.

VASP energy: -4.863 eV per atom
DOS at the Fermi energy: 15.18 states/eV/cell
size of the total moment: 0.0 μB per formula unit
ΔE to the lowest computed polymorph: 198 meV/atom
ΔE_f: 1.42 eV per formula unit
space-group type: No. 36

Structure (Quantum ESPRESSO input):
```
&SYSTEM
  ibrav = 0, nat = 12, ntyp = 3
/
ATOMIC_SPECIES
Sm 150.36 Sm.upf
Ho 164.93 Ho.upf
Th 232.04 Th.upf
CELL_PARAMETERS angstrom
4.7168 -6.1804 0.0000
4.7168 6.1804 0.0000
0.0000 0.0000 6.8371
ATOMIC_POSITIONS angstrom
Sm 1.6290 1.8484 0.0000
Sm 1.6290 -1.8484 3.4185
Sm 7.8045 1.8484 0.0000
Sm 7.8045 -1.8484 3.4185
Ho 1.6182 1.4438 3.4066
Ho 1.6182 -1.4438 6.8252
Ho 4.7168 1.8003 5.1281
Ho 4.7168 -1.8003 1.7095
Ho 7.8153 1.4438 3.4066
Ho 7.8153 -1.4438 6.8252
Th 4.7168 1.8024 1.6974
Th 4.7168 -1.8024 5.1159
```



[5]
The following is a DFT calculation (PBE-GGA) of a relaxed SmHo4Th6 crystal. Values from VASP.

VASP energy: -5.720 eV per atom
DOS at the Fermi energy: 17.73 states/eV/cell
size of the total moment: 0.0 μB per formula unit
ΔE_f: 4.63 eV per formula unit
space-group type: No. 121

Structure (Quantum ESPRESSO input):
```
&SYSTEM
  ibrav = 0, nat = 11, ntyp = 3
/
ATOMIC_SPECIES
Sm 150.36 Sm.upf
Ho 164.93 Ho.upf
Th 232.04 Th.upf
CELL_PARAMETERS angstrom
-3.1684 3.1684 9.1886
3.1684 -3.1684 9.1886
3.1684 3.1684 -9.1886
ATOMIC_POSITIONS angstrom
Sm 0.0000 0.0000 0.0000
Ho 1.9883 1.9883 -2.3375
Ho 1.1801 -1.1801 11.5260
Ho 1.1801 1.1801 6.8511
Ho -1.1801 1.1801 11.5260
Th 3.1684 0.0000 0.0000
Th 1.9611 1.9611 -5.6674
Th 1.2073 1.2073 3.5212
Th 0.0000 3.1684 0.0000
Th 1.2073 -1.2073 14.8559
Th -1.2073 1.2073 14.8559
```



[6]
The following is a DFT calculation (PBE-GGA) of a relaxed Sm2Ho3Th4 crystal. Values from VASP.

VASP energy: -5.817 eV per atom
DOS at the Fermi energy: 14.35 states/eV/cell
size of the total moment: 0.0 μB per formula unit
ΔE_f: 0.50 eV per formula unit
space-group type: No. 12

Structure (Quantum ESPRESSO input):
```
&SYSTEM
  ibrav = 0, nat = 9, ntyp = 3
/
ATOMIC_SPECIES
Sm 150.36 Sm.upf
Ho 164.93 Ho.upf
Th 232.04 Th.upf
CELL_PARAMETERS angstrom
9.3049 -1.7938 0.0000
9.3049 1.7938 0.0000
-4.1813 0.0000 8.7622
ATOMIC_POSITIONS angstrom
Sm -1.1278 0.0000 8.7589
Sm 15.5564 0.0000 0.0033
Ho 5.1737 0.0000 2.9080
Ho 9.3049 0.0000 0.0000
Ho 9.2549 0.0000 5.8542
Th -0.9411 0.0000 2.9496
Th 3.1218 0.0000 5.7923
Th 11.3068 0.0000 2.9699
Th 15.3697 0.0000 5.8126
```



[7]
The following is a DFT calculation (PBE-GGA) of a relaxed Sm5Ho12Th2 crystal. Values from VASP.

VASP energy: -4.769 eV per atom
DOS at the Fermi energy: 26.52 states/eV/cell
size of the total moment: 0.0 μB per formula unit
ΔE to the lowest computed polymorph: 67 meV/atom
ΔE_f: 2.76 eV per formula unit
space-group type: No. 12

Structure (Quantum ESPRESSO input):
```
&SYSTEM
  ibrav = 0, nat = 19, ntyp = 3
/
ATOMIC_SPECIES
Sm 150.36 Sm.upf
Ho 164.93 Ho.upf
Th 232.04 Th.upf
CELL_PARAMETERS angstrom
7.7710 -4.6854 0.0000
7.7710 4.6854 0.0000
-0.3523 0.0000 8.6043
ATOMIC_POSITIONS angstrom
Sm 0.0000 0.0000 0.0000
Sm 3.5681 0.0000 0.6057
Sm 4.4560 0.0000 4.1177
Sm 10.7338 0.0000 4.4866
Sm 11.6217 0.0000 7.9986
Ho 5.3692 3.0179 2.2251
Ho 1.0438 0.0000 3.2460
Ho 5.4765 1.7868 7.1790
Ho 9.8206 3.0179 6.3792
Ho 9.7133 1.7868 1.4253
Ho 6.8137 0.0000 1.4584
Ho 8.3761 0.0000 7.1459
Ho 5.4765 -1.7868 7.1790
Ho 5.3692 -3.0179 2.2251
Ho 9.7133 -1.7868 1.4253
Ho 14.1459 0.0000 5.3583
Ho 9.8206 -3.0179 6.3792
Th 7.5949 1.6240 4.3022
Th 7.5949 -1.6240 4.3022
```



[8]
The following is a DFT calculation (PBE-GGA) of a relaxed Sm2HoTh4 crystal. Values from VASP.

VASP energy: -5.292 eV per atom
DOS at the Fermi energy: 35.14 states/eV/cell
size of the total moment: 0.0 μB per formula unit
ΔE to the lowest computed polymorph: 874 meV/atom
ΔE_f: 6.65 eV per formula unit
space-group type: No. 139

Structure (Quantum ESPRESSO input):
```
&SYSTEM
  ibrav = 0, nat = 14, ntyp = 3
/
ATOMIC_SPECIES
Sm 150.36 Sm.upf
Ho 164.93 Ho.upf
Th 232.04 Th.upf
CELL_PARAMETERS angstrom
5.6728 0.0000 0.0000
0.0000 5.6728 0.0000
0.0000 0.0000 16.4294
ATOMIC_POSITIONS angstrom
Sm 0.0000 0.0000 1.9179
Sm 0.0000 0.0000 14.5116
Sm 2.8364 2.8364 6.2969
Sm 2.8364 2.8364 10.1326
Ho 0.0000 0.0000 8.2147
Ho 2.8364 2.8364 0.0000
Th 0.0000 0.0000 5.1131
Th 0.0000 0.0000 11.3164
Th 0.0000 2.8364 0.0000
Th 0.0000 2.8364 8.2147
Th 2.8364 0.0000 0.0000
Th 2.8364 0.0000 8.2147
Th 2.8364 2.8364 3.1016
Th 2.8364 2.8364 13.3278
```